Below is a relaxed structure of ZrGaSb2I, with properties calculated at the PBE level.

Properties
ΔE_f (raw), eV/atom: 0.632
Symmetry: P4/mmm, No. 123

Lattice parameters (Å, degrees): 5.236 5.236 5.455 90.00 90.00 90.00
Fractional positions:
Zr 0.000 0.000 0.000
Ga 0.500 0.500 0.500
Sb 0.000 0.500 0.500
Sb 0.500 0.000 0.500
I 0.500 0.500 0.000